Compound: MoPO5
Source: the Alexandria database
Functional: GGA+U
Structure: relaxed

Lattice parameters (Å, degrees): 6.2874 6.2874 4.5736 90.00 90.00 90.00
Fractional positions:
1 Mo 0.2500 0.2500 0.2072
2 Mo 0.7500 0.7500 0.7928
3 P 0.2500 0.7500 0.5000
4 P 0.7500 0.2500 0.5000
5 O 0.0578 0.6961 0.6960
6 O 0.1961 0.9422 0.3040
7 O 0.2500 0.2500 0.8342
8 O 0.3039 0.5578 0.3040
9 O 0.4422 0.8039 0.6960
10 O 0.5578 0.1961 0.3040
11 O 0.6961 0.4422 0.6960
12 O 0.7500 0.7500 0.1658
13 O 0.8039 0.0578 0.6960
14 O 0.9422 0.3039 0.3040

Calculated values
Volume: 12.914 Å³/atom
Final energy: -7.249 eV per atom